A geometry-optimized V2NiGe2 structure, computed with PBE. Values from VASP.

```
&SYSTEM
  ibrav = 0, nat = 5, ntyp = 3
/
ATOMIC_SPECIES
Ni 58.69 Ni.upf
Ge 72.64 Ge.upf
V 50.94 V.upf
CELL_PARAMETERS angstrom
-3.413 0.646 0.575
0.178 -1.766 3.041
-0.157 4.578 4.707
ATOMIC_POSITIONS crystal
Ni 0.000 0.000 0.000
Ge 0.404 0.404 0.192
Ge 0.596 0.596 0.808
V 0.750 0.250 0.500
V 0.250 0.750 0.500
```

- distance to the lowest polymorph of the same formula (eV per atom) = 0.542
- energy of formation from the pure elements (eV/f.u.) = 1.6
- mass density (g cm⁻³) = 6.74
- SG = I4/mmm